Tl2AgPdCl6: relaxed, GGA-PBE.

Cell lengths 7.0752, 7.0752, 37.4580 Å; angles 90.00, 90.00, 120.00 degrees
Space group R-3m (No. 166, hexagonal axes)
Symmetry-distinct sites (fractional):
1 Tl 0.0000 0.0000 0.1311 (multiplicity 6)
2 Tl 0.0000 0.0000 0.3033 (multiplicity 6)
3 Ag 0.0000 0.0000 0.4131 (multiplicity 6)
4 Pd 0.0000 0.0000 0.0000 (multiplicity 3)
5 Pd 0.0000 0.0000 0.5000 (multiplicity 3)
6 Cl 0.0055 0.5028 0.1290 (multiplicity 18)
7 Cl 0.0068 0.5034 0.7043 (multiplicity 18)

Values from the calculation:
For the total energy, the calculation gives -3.05 eV/atom. The value obtained for the uncorrected formation energy is -667 meV/atom.